Record 1
Material: Cs2TaPdCl6
Method: DFT, PBE
State: optimized geometry

It has space group I4/mmm (No. 139), with a = 7.191 Å, b = 7.191 Å, c = 11.389 Å, α = 90.00°, β = 90.00° and γ = 90.00°. The inequivalent atoms are Cs at (0.000, 0.500, 0.250), Ta at (0.000, 0.000, 0.000), Pd at (0.000, 0.000, 0.500), Cl at (0.000, 0.000, 0.216) and Cl at (0.240, 0.240, 0.000).

The uncorrected formation energy is -1.2602 eV per atom. As for the total energy: -4.2435 eV per atom.


Record 2
Material: CsTbPdCl6
Method: DFT, PBE
State: optimized geometry

It has space group P312 (No. 149), with a = 6.7817 Å, b = 6.7817 Å, c = 7.9034 Å, α = 90.00°, β = 90.00° and γ = 120.00°. The inequivalent atoms are Cs at (0.0000, 0.0000, 0.0000), Tb at (0.3333, 0.6667, 0.5000), Pd at (0.6667, 0.3333, 0.5000) and Cl at (0.3776, 0.0121, 0.3098).

The uncorrected formation energy is -1.5841 eV per atom. As for the total energy: -4.0015 eV per atom.


Record 3
Material: Cs2TbPdCl6
Method: DFT, PBE
State: optimized geometry

It has space group Pmmn (No. 59, origin choice 2), with a = 7.766 Å, b = 10.310 Å, c = 7.769 Å, α = 90.00°, β = 90.00° and γ = 90.00°. The inequivalent atoms are Cs at (0.250, 0.000, 0.250), Tb at (0.250, 0.250, 0.750), Pd at (0.250, 0.750, 0.750), Cl at (0.009, 0.250, 0.508), Cl at (0.009, 0.250, 0.991) and Cl at (0.250, 0.509, 0.750).

The uncorrected formation energy is -1.7251 eV per atom. As for the total energy: -3.9861 eV per atom.


Record 4
Material: CsTcPdCl6
Method: DFT, PBE
State: optimized geometry

It has space group C2 (No. 5), with a = 7.290 Å, b = 10.558 Å, c = 7.535 Å, α = 90.00°, β = 100.49° and γ = 90.00°. The inequivalent atoms are Cs at (0.000, 0.000, 0.000), Tc at (0.000, 0.465, 0.500), Pd at (0.000, 0.813, 0.500), Cl at (0.128, 0.318, 0.720), Cl at (0.135, 0.638, 0.698) and Cl at (0.223, 0.972, 0.627).

The uncorrected formation energy is -0.8713 eV per atom. As for the total energy: -3.9260 eV per atom.


Repeat the first record exactly.
Material: Cs2TaPdCl6
Method: DFT, PBE
State: optimized geometry

It has space group I4/mmm (No. 139), with a = 7.191 Å, b = 7.191 Å, c = 11.389 Å, α = 90.00°, β = 90.00° and γ = 90.00°. The inequivalent atoms are Cs at (0.000, 0.500, 0.250), Ta at (0.000, 0.000, 0.000), Pd at (0.000, 0.000, 0.500), Cl at (0.000, 0.000, 0.216) and Cl at (0.240, 0.240, 0.000).

The uncorrected formation energy is -1.2602 eV per atom. As for the total energy: -4.2435 eV per atom.